First-principles (GGA+U) data for Np2FeO6 after structural relaxation, as listed in Alexandria.

Computed properties:
* raw total energy: -9.38 eV per atom

extended XYZ file:
```
18
Lattice="4.991 0.000 0.000 0.000 4.991 0.000 0.000 0.000 10.085" Properties=species:S:1:pos:R:3 pbc="T T T"
Np 0.000 0.000 1.700
Np 0.000 0.000 8.385
Np 2.496 2.496 3.342
Np 2.496 2.496 6.743
Fe 0.000 0.000 5.043
Fe 2.496 2.496 0.000
O 0.929 0.929 0.000
O 0.982 0.982 3.366
O 0.982 0.982 6.720
O 1.513 3.478 1.677
O 1.513 3.478 8.409
O 1.566 3.425 5.043
O 3.425 1.566 5.043
O 3.478 1.513 1.677
O 3.478 1.513 8.409
O 4.009 4.009 3.366
O 4.009 4.009 6.720
O 4.062 4.062 0.000
```